(1)
Compound: AlTl2Hg
Source: Alexandria
Functional: SCAN
Structure: PBEsol geometry

Structure (POSCAR):
```
AlTl2Hg
1.0
3.379 0.000 0.000
0.000 5.314 0.000
-1.689 -2.657 5.415
Tl Hg Al
2 1 1
Direct
0.990 0.990 0.981
0.775 0.275 0.549
0.221 0.721 0.442
0.514 0.514 0.028
```

Output
energy of formation = 138 meV per atom
N(E_F) = 0.4634 states/eV per atom
magnetization = 0.0 μB/cell
crystal system = orthorhombic

(2)
Compound: LaHf3Te
Source: Alexandria
Functional: SCAN
Structure: PBEsol geometry

Structure (POSCAR):
```
LaHf3Te
1.0
5.114 0.000 0.000
0.000 5.114 0.000
0.000 0.000 5.114
Te Hf La
1 3 1
Direct
0.500 0.500 0.500
0.000 0.500 0.000
0.000 0.000 0.500
0.500 0.000 0.000
0.000 0.000 0.000
```

Output
N(E_F) = 1.0622 states/eV per atom
magnetization = 0.0 μB/cell
crystal system = cubic
raw formation energy = 7.34 eV per formula unit

(3)
Compound: NdLuTl2
Source: Alexandria
Functional: SCAN
Structure: PBEsol geometry

Structure (POSCAR):
```
NdLuTl2
1.0
-5.172 0.454 1.071
-2.570 -3.971 2.394
-1.631 0.540 5.015
Tl Lu Nd
2 1 1
Direct
0.250 0.250 0.250
0.750 0.750 0.750
0.500 0.500 0.500
0.000 0.000 0.000
```

Output
energy of formation = -511 meV per atom
N(E_F) = 0.6760 states/eV per atom
magnetization = 0.0 μB/cell
crystal system = cubic

(4)
Compound: ErH3O3
Source: Alexandria
Functional: SCAN
Structure: PBEsol geometry

Structure (POSCAR):
```
ErH3O3
1.0
-1.811 -2.077 -2.057
5.076 -1.134 -3.323
-1.387 -3.578 4.834
H O Er
6 6 2
Direct
0.750 0.721 0.851
0.750 0.130 0.279
0.750 0.149 0.870
0.250 0.279 0.149
0.250 0.870 0.721
0.250 0.851 0.130
0.750 0.605 0.916
0.750 0.310 0.395
0.750 0.084 0.690
0.250 0.395 0.084
0.250 0.690 0.605
0.250 0.916 0.310
0.750 0.667 0.333
0.250 0.333 0.667
```

Output
N(E_F) = 0.0000 states/eV per atom
DFT total energy = -188.67 eV for the cell shown
magnetization = 0.0 μB/cell
crystal system = hexagonal

(5)
Compound: Cr2HgPb
Source: Alexandria
Functional: SCAN
Structure: PBEsol geometry

Structure (POSCAR):
```
Cr2HgPb
1.0
-0.751 -2.403 2.205
3.261 -0.500 0.565
-0.156 4.667 5.033
Cr Hg Pb
2 1 1
Direct
0.000 0.000 0.270
0.000 0.000 0.730
0.500 0.500 0.500
0.500 0.500 0.000
```

Output
energy of formation = 228 meV per atom
N(E_F) = 0.5105 states/eV per atom
magnetization = 8.2 μB/cell
crystal system = tetragonal

(6)
Compound: ScBe2PdRu
Source: Alexandria
Functional: SCAN
Structure: PBEsol geometry

Structure (POSCAR):
```
ScBe2PdRu
1.0
-3.590 -1.838 -1.377
2.399 -3.229 -1.942
-0.206 -2.411 3.754
Sc Ru Pd Be
1 1 1 2
Direct
0.000 0.000 0.000
0.500 0.000 0.000
0.500 0.500 0.500
0.000 0.000 0.500
0.000 0.500 0.000
```

Output
energy of formation = 1629 meV per atom
N(E_F) = 0.7429 states/eV per atom
magnetization = 0.0 μB/cell
crystal system = tetragonal

(7)
Compound: Zr2TlCo
Source: Alexandria
Functional: SCAN
Structure: PBEsol geometry

Structure (POSCAR):
```
Zr2TlCo
1.0
4.241 0.000 0.000
0.000 4.241 0.000
-2.120 -2.120 4.126
Co Tl Zr
1 1 2
Direct
0.500 0.500 0.000
0.000 0.000 0.000
0.750 0.250 0.500
0.250 0.750 0.500
```

Output
energy of formation = -169 meV per atom
N(E_F) = 0.7396 states/eV per atom
magnetization = 1.5 μB/cell
crystal system = tetragonal

(8)
Compound: SiPPb
Source: Alexandria
Functional: SCAN
Structure: PBEsol geometry

Structure (POSCAR):
```
SiPPb
1.0
4.560 0.000 0.000
2.280 3.949 0.000
2.280 1.316 3.723
Pb P Si
1 1 1
Direct
0.500 0.500 0.500
0.000 0.000 0.000
0.250 0.250 0.250
```

Output
N(E_F) = 0.3684 states/eV per atom
magnetization = 0.0 μB/cell
crystal system = cubic
raw formation energy = 2.16 eV per formula unit

(9)
Compound: YCr2Cl
Source: Alexandria
Functional: SCAN
Structure: PBEsol geometry

Structure (POSCAR):
```
YCr2Cl
1.0
-1.182 1.397 2.621
-2.177 -0.222 -2.331
-2.442 -7.725 3.016
Y Cr Cl
1 2 1
Direct
0.500 0.500 0.500
0.000 0.000 0.225
0.000 0.000 0.775
0.500 0.500 0.000
```

Output
N(E_F) = 0.6399 states/eV per atom
magnetization = 8.3 μB/cell
crystal system = orthorhombic
raw formation energy = 0.04 eV per formula unit

(10)
Compound: SnIrRuF2
Source: Alexandria
Functional: SCAN
Structure: PBEsol geometry

Structure (POSCAR):
```
SnIrRuF2
1.0
-3.024 1.473 -2.156
1.973 -0.872 -3.363
-2.318 -4.894 -0.091
Ru Ir Sn F
1 1 1 2
Direct
0.500 0.500 0.500
0.000 0.000 0.500
0.000 0.000 0.000
0.000 0.500 0.000
0.500 0.000 0.000
```

Output
N(E_F) = 0.4936 states/eV per atom
magnetization = 3.7 μB/cell
crystal system = tetragonal
raw formation energy = -0.82 eV per formula unit

(11)
Compound: ErNiGe
Source: Alexandria
Functional: SCAN
Structure: PBEsol geometry

Structure (POSCAR):
```
ErNiGe
1.0
4.153 0.000 0.000
0.000 6.743 0.000
0.000 0.000 7.139
Ni Ge Er
4 4 4
Direct
0.250 0.192 0.918
0.750 0.808 0.082
0.250 0.692 0.582
0.750 0.308 0.418
0.250 0.805 0.911
0.750 0.195 0.089
0.250 0.305 0.589
0.750 0.695 0.411
0.250 0.492 0.205
0.750 0.508 0.795
0.250 0.992 0.295
0.750 0.008 0.705
```

Output
energy of formation = -899 meV per atom
N(E_F) = 0.5295 states/eV per atom
magnetization = 0.0 μB/cell
crystal system = orthorhombic

(12)
Compound: NiWSN2
Source: Alexandria
Functional: SCAN
Structure: PBEsol geometry

Structure (POSCAR):
```
NiWSN2
1.0
3.811 0.000 0.000
0.000 3.811 0.000
0.000 0.000 4.952
Ni S W N
1 1 1 2
Direct
0.500 0.500 0.500
0.000 0.000 0.500
0.000 0.000 0.000
0.000 0.500 0.000
0.500 0.000 0.000
```

Output
N(E_F) = 0.5005 states/eV per atom
magnetization = 1.7 μB/cell
crystal system = tetragonal
raw formation energy = 2.22 eV per formula unit

(13)
Compound: MnZn2Au
Source: Alexandria
Functional: SCAN
Structure: PBEsol geometry

Structure (POSCAR):
```
MnZn2Au
1.0
2.813 0.000 0.000
-1.406 4.367 0.019
0.000 -0.832 4.730
Au Mn Zn
1 1 2
Direct
0.000 0.000 0.500
0.500 0.000 0.000
0.752 0.504 0.759
0.248 0.496 0.241
```

Output
energy of formation = -224 meV per atom
N(E_F) = 0.3457 states/eV per atom
magnetization = 4.0 μB/cell
crystal system = monoclinic

(14)
Compound: CuPtAu2
Source: Alexandria
Functional: SCAN
Structure: PBEsol geometry

Structure (POSCAR):
```
CuPtAu2
1.0
2.854 0.000 0.000
0.000 4.734 -0.005
-1.427 -1.063 4.496
Au Cu Pt
2 1 1
Direct
0.998 0.995 0.996
0.758 0.259 0.516
0.503 0.504 0.006
0.241 0.742 0.483
```

Output
energy of formation = -22 meV per atom
N(E_F) = 0.4132 states/eV per atom
magnetization = 0.0 μB/cell
crystal system = monoclinic